Entry from the Alexandria database: an optimized crystal structure of CeNd7Y12 (PBE). Values from VASP.

Quantum ESPRESSO input file:
```
&SYSTEM
  ibrav = 0, nat = 20, ntyp = 3
/
ATOMIC_SPECIES
Ce 140.12 Ce.upf
Nd 144.24 Nd.upf
Y 88.91 Y.upf
CELL_PARAMETERS angstrom
6.2285 3.5960 5.0627
-6.2285 3.5960 5.0627
0.0000 -7.1920 5.0627
ATOMIC_POSITIONS crystal
Ce 0.0000 0.0000 0.0000
Nd 0.0342 0.9342 0.3289
Nd 0.0658 0.6711 0.9658
Nd 0.3289 0.0342 0.9342
Nd 0.5000 0.5000 0.5000
Nd 0.6711 0.9658 0.0658
Nd 0.9342 0.3289 0.0342
Nd 0.9658 0.0658 0.6711
Y 0.1252 0.4548 0.3541
Y 0.2266 0.3727 0.7666
Y 0.2334 0.7734 0.6273
Y 0.3541 0.1252 0.4548
Y 0.3727 0.7666 0.2266
Y 0.4548 0.3541 0.1252
Y 0.5452 0.6459 0.8748
Y 0.6273 0.2334 0.7734
Y 0.6459 0.8748 0.5452
Y 0.7666 0.2266 0.3727
Y 0.7734 0.6273 0.2334
Y 0.8748 0.5452 0.6459
```

Summary:
Formation energy from the elements in eV/atom: 0.222
Distance to the lowest polymorph of the same formula in meV/atom: 0.0

=====

Entry from the Alexandria database: an optimized crystal structure of CeNd2Y8 (PBE). Values from VASP.

Quantum ESPRESSO input file:
```
&SYSTEM
  ibrav = 0, nat = 11, ntyp = 3
/
ATOMIC_SPECIES
Ce 140.12 Ce.upf
Nd 144.24 Nd.upf
Y 88.91 Y.upf
CELL_PARAMETERS angstrom
9.1651 -2.5445 0.0000
9.1651 2.5445 0.0000
-2.1007 0.0000 7.7496
ATOMIC_POSITIONS crystal
Ce 0.0000 0.0000 0.0000
Nd 0.2718 0.2718 0.3640
Nd 0.7282 0.7282 0.6360
Y 0.0898 0.0898 0.4523
Y 0.1799 0.1799 0.9074
Y 0.3650 0.3650 0.8216
Y 0.4555 0.4555 0.2690
Y 0.5445 0.5445 0.7310
Y 0.6350 0.6350 0.1784
Y 0.8201 0.8201 0.0926
Y 0.9102 0.9102 0.5477
```

Summary:
Formation energy from the elements in eV/atom: 0.043

=====

Entry from the Alexandria database: an optimized crystal structure of CeNd3Y8 (PBE). Values from VASP.

Quantum ESPRESSO input file:
```
&SYSTEM
  ibrav = 0, nat = 12, ntyp = 3
/
ATOMIC_SPECIES
Ce 140.12 Ce.upf
Nd 144.24 Nd.upf
Y 88.91 Y.upf
CELL_PARAMETERS angstrom
-4.3783 4.3783 5.7174
4.3783 -4.3783 5.7174
4.3783 4.3783 -5.7174
ATOMIC_POSITIONS crystal
Ce 0.0000 0.0000 0.0000
Nd 0.2500 0.7500 0.5000
Nd 0.5000 0.5000 0.0000
Nd 0.7500 0.2500 0.5000
Y 0.1117 0.3614 0.0000
Y 0.2025 0.7389 0.0000
Y 0.2611 0.2611 0.4636
Y 0.3614 0.1117 0.0000
Y 0.6386 0.6386 0.7503
Y 0.7389 0.2025 0.0000
Y 0.7975 0.7975 0.5364
Y 0.8883 0.8883 0.2497
```

Summary:
Formation energy from the elements in eV/atom: 0.606